The following is a DFT calculation (GGA-PBE) of a relaxed structure of Na2Li3PaF12.

The structure in POSCAR format:
```
Na2Li3PaF12
1.0
3.425 1.977 5.400
-3.425 1.977 5.400
0.000 -3.954 5.400
Na Li Pa F
2 3 1 12
direct
0.107 0.107 0.107
0.893 0.893 0.893
0.000 0.500 0.500
0.500 0.000 0.500
0.500 0.500 0.000
0.500 0.500 0.500
0.088 0.657 0.657
0.253 0.253 0.634
0.253 0.634 0.253
0.343 0.343 0.912
0.343 0.912 0.343
0.366 0.747 0.747
0.634 0.253 0.253
0.657 0.088 0.657
0.657 0.657 0.088
0.747 0.366 0.747
0.747 0.747 0.366
0.912 0.343 0.343
```

Summary:
ρ: 4.0 Mg/m³
Total energy: -5.00 eV per atom
Magnetization: 2.13 Bohr magnetons per cell
Raw formation energy: -2.762 eV per atom
DOS(E_F): 11.97 states/eV/cell